Record 1
Here is crystalline DyErC2Br2 at its relaxed geometry from OQMD via LeMat-Bulk. Energies are from PBE-GGA.

Lattice parameters (Å, degrees): 7.0208 3.7621 10.9231 90.00 94.69 90.00
Last column: nearest neighbours and their distance in Å.
Space group Cm (No. 8)
One atom of each set of equivalent atoms:
Dy 0.0000 0.0000 0.0000  1 C 2.32
Er 0.2101 0.5000 0.7372  1 C 2.30
C 0.2800 0.0000 0.9005  1 C 1.34
C 0.4301 0.0000 0.8328  1 C 1.34
Br 0.0337 0.0000 0.5661  3 Er 2.86-3.06
Br 0.1784 0.5000 0.1736  3 Dy 2.88-3.06

Summary:
- E_tot: -6.2355 eV per atom

=====

Record 2
Here is crystalline Dy2Er2CI3Br2 at its relaxed geometry from OQMD via LeMat-Bulk. Energies are from PBE-GGA.

Lattice parameters (Å, degrees): 18.4674 3.8891 8.4416 90.00 102.31 90.00
Last column: nearest neighbours and their distance in Å.
Space group C2/m (No. 12)
One atom of each set of equivalent atoms:
Dy 0.1328 0.0000 0.0680  1 C 2.40
Er 0.9995 0.5000 0.1895  2 C 2.52
C 0.0000 0.0000 0.0000  2 Dy 2.40, 4 Er 2.52
I 0.0000 0.0000 0.5000  4 Er 3.26
I 0.1705 0.5000 0.8162  2 Dy 3.07, 1 Er 3.13
Br 0.1570 0.5000 0.3232  2 Dy 2.87, 1 Er 2.89

Summary:
- E_tot: -4.7738 eV per atom

=====

Record 3
Here is crystalline Dy4CBr3F2 at its relaxed geometry from OQMD via LeMat-Bulk. Energies are from PBE-GGA.

Lattice parameters (Å, degrees): 15.5013 3.7131 8.1355 90.00 104.09 90.00
Last column: nearest neighbours and their distance in Å.
Space group C2/m (No. 12)
One atom of each set of equivalent atoms:
Dy 0.0050 0.0000 0.3010  2 C 2.48, 1 F 2.58
Dy 0.1561 0.5000 0.5697  1 C 2.35, 3 F 2.36-2.55
C 0.0000 0.5000 0.5000  6 Dy 2.35-2.48
Br 0.0000 0.5000 0.0000  4 Dy 3.06
Br 0.1860 0.0000 0.8341  3 Dy 2.79-2.90
F 0.1762 0.0000 0.4030  4 Dy 2.36-2.58

Summary:
- E_tot: -5.5443 eV per atom

=====

Record 4
Here is crystalline Dy4CBrF4 at its relaxed geometry from OQMD via LeMat-Bulk. Energies are from PBE-GGA.

Lattice parameters (Å, degrees): 14.6073 3.5902 7.8809 90.00 116.75 90.00
Last column: nearest neighbours and their distance in Å.
Space group C2/m (No. 12)
One atom of each set of equivalent atoms:
Dy 0.0086 0.0000 0.2110  2 F 2.41-2.46, 2 C 2.41
Dy 0.1773 0.5000 0.1359  5 F 2.28-2.44, 1 C 2.31
C 0.0000 0.5000 0.0000  6 Dy 2.31-2.41
Br 0.0000 0.5000 0.5000  4 Dy 2.95
F 0.1761 0.0000 0.9343  4 Dy 2.39-2.44, 2 F 2.63
F 0.1959 0.0000 0.3278  3 Dy 2.28-2.46

Summary:
- E_tot: -6.0941 eV per atom

=====

Record 5
Here is crystalline Dy2Ho2CBr3F2 at its relaxed geometry from OQMD via LeMat-Bulk. Energies are from PBE-GGA.

Lattice parameters (Å, degrees): 15.4497 3.6952 8.0557 90.00 103.41 90.00
Last column: nearest neighbours and their distance in Å.
Space group C2/m (No. 12)
One atom of each set of equivalent atoms:
Dy 0.1560 0.0000 0.0706  1 C 2.34, 3 F 2.36-2.55
Ho 0.0063 0.5000 0.8015  2 C 2.46, 1 F 2.56
C 0.0000 0.0000 0.0000  2 Dy 2.34, 4 Ho 2.46
Br 0.0000 0.0000 0.5000  4 Ho 3.03
Br 0.1827 0.5000 0.3376  2 Dy 2.79, 1 Ho 2.87
F 0.1759 0.5000 0.9000  3 Dy 2.36-2.55, 1 Ho 2.56

Summary:
- E_tot: -5.5299 eV per atom

=====

Record 6
Here is crystalline Nd2Dy2CBr4F at its relaxed geometry from OQMD via LeMat-Bulk. Energies are from PBE-GGA.

Lattice parameters (Å, degrees): 17.9915 3.7682 7.5998 90.00 101.43 90.00
Last column: nearest neighbours and their distance in Å.
Space group C2/m (No. 12)
One atom of each set of equivalent atoms:
Nd 0.0018 0.0000 0.2656  2 C 2.60, 2 F 2.76
Dy 0.1363 0.5000 0.5702  1 C 2.40
C 0.0000 0.5000 0.5000  2 Dy 2.40, 4 Nd 2.60
Br 0.1665 0.0000 0.8539  2 Dy 2.83, 1 Nd 2.98
Br 0.1743 0.0000 0.3175  2 Dy 2.87, 1 Nd 3.05
F 0.0000 0.5000 0.0000  4 Nd 2.76

Summary:
- E_tot: -5.2803 eV per atom

=====

Record 7
Here is crystalline Dy2Sc2CBr2F3 at its relaxed geometry from OQMD via LeMat-Bulk. Energies are from PBE-GGA.

Lattice parameters (Å, degrees): 16.0783 3.4667 6.8777 90.00 99.90 90.00
Last column: nearest neighbours and their distance in Å.
Space group C2/m (No. 12)
One atom of each set of equivalent atoms:
Dy 0.0032 0.0000 0.2397  3 F 2.31-2.50, 2 C 2.39
Sc 0.1397 0.5000 0.0705  2 F 2.20, 1 C 2.21
C 0.0000 0.5000 0.0000  2 Sc 2.21, 4 Dy 2.39
Br 0.1784 0.0000 0.7849  3 Sc 2.77-2.92, 1 Dy 2.90
F 0.0000 0.5000 0.5000  4 Dy 2.50
F 0.1487 0.0000 0.2694  2 Sc 2.20, 1 Dy 2.31

Summary:
- E_tot: -6.1576 eV per atom

=====

Record 8
Here is crystalline Dy2Y2CBr2F3 at its relaxed geometry from OQMD via LeMat-Bulk. Energies are from PBE-GGA.

Lattice parameters (Å, degrees): 15.5580 3.5965 6.8087 90.00 97.29 90.00
Last column: nearest neighbours and their distance in Å.
Space group C2/m (No. 12)
One atom of each set of equivalent atoms:
Dy 0.0221 0.0000 0.2675  2 C 2.45, 3 F 2.55-2.60
Y 0.1517 0.5000 0.6010  1 C 2.37, 3 F 2.38-2.52
C 0.0000 0.5000 0.5000  2 Y 2.37, 4 Dy 2.45
Br 0.1559 0.0000 0.9215  2 Y 2.82, 1 Dy 2.90, 2 F 3.12
F 0.0000 0.5000 0.0000  4 Dy 2.55
F 0.1864 0.0000 0.3965  3 Y 2.38-2.52, 1 Dy 2.60

Summary:
- E_tot: -6.1441 eV per atom

=====

Record 9
Here is crystalline Dy2Y2CBr4F at its relaxed geometry from OQMD via LeMat-Bulk. Energies are from PBE-GGA.

Lattice parameters (Å, degrees): 17.6903 3.6769 7.5009 90.00 101.21 90.00
Last column: nearest neighbours and their distance in Å.
Space group C2/m (No. 12)
One atom of each set of equivalent atoms:
Dy 0.0029 0.0000 0.2758  2 C 2.50, 2 F 2.76
Y 0.1378 0.5000 0.5744  1 C 2.39
C 0.0000 0.5000 0.5000  2 Y 2.39, 4 Dy 2.50
Br 0.1599 0.0000 0.8636  2 Y 2.81, 1 Dy 2.87
Br 0.1728 0.0000 0.3131  2 Y 2.84, 1 Dy 2.96
F 0.0000 0.5000 0.0000  4 Dy 2.76

Summary:
- E_tot: -5.6030 eV per atom

=====

Record 10
Here is crystalline Gd2Dy2CBr5 at its relaxed geometry from OQMD via LeMat-Bulk. Energies are from PBE-GGA.

Lattice parameters (Å, degrees): 17.9605 3.8338 8.1752 90.00 102.76 90.00
Last column: nearest neighbours and their distance in Å.
Space group C2/m (No. 12)
One atom of each set of equivalent atoms:
Gd 0.0014 0.0000 0.2971  2 C 2.54
Dy 0.1367 0.5000 0.5717  1 C 2.40
C 0.0000 0.5000 0.5000  2 Dy 2.40, 4 Gd 2.54
Br 0.0000 0.5000 0.0000  4 Gd 3.09
Br 0.1633 0.0000 0.8369  2 Dy 2.85, 1 Gd 2.92
Br 0.1705 0.0000 0.3327  2 Dy 2.90, 1 Gd 2.98

Summary:
- E_tot: -5.0490 eV per atom

=====

Record 11
Here is crystalline Dy2HCBr at its relaxed geometry from OQMD via LeMat-Bulk. Energies are from PBE-GGA.

Lattice parameters (Å, degrees): 3.6807 3.6807 9.5671 90.00 90.00 120.00
Last column: nearest neighbours and their distance in Å.
Space group P3m1 (No. 156)
One atom of each set of equivalent atoms:
Dy 0.0000 0.0000 0.0000  3 C 2.50
Dy 0.3333 0.6667 0.2831  3 H 2.32, 3 C 2.54
H 0.0000 0.0000 0.3811  3 Dy 2.32
C 0.6667 0.3333 0.1386  6 Dy 2.50-2.54
Br 0.3333 0.6667 0.7921  3 Dy 2.91

Summary:
- E_tot: -5.5324 eV per atom

=====

Record 12
Here is crystalline Dy2Ho2CBr5 at its relaxed geometry from OQMD via LeMat-Bulk. Energies are from PBE-GGA.

Lattice parameters (Å, degrees): 17.7531 3.7961 8.1121 90.00 103.01 90.00
Last column: nearest neighbours and their distance in Å.
Space group C2/m (No. 12)
One atom of each set of equivalent atoms:
Dy 0.1383 0.0000 0.0717  1 C 2.39
Ho 0.0008 0.5000 0.7996  2 C 2.50
C 0.0000 0.0000 0.0000  2 Dy 2.39, 4 Ho 2.50
Br 0.0000 0.0000 0.5000  4 Ho 3.08
Br 0.1640 0.5000 0.3397  2 Dy 2.84, 1 Ho 2.89
Br 0.1699 0.5000 0.8282  2 Dy 2.88, 1 Ho 2.96

Summary:
- E_tot: -5.0202 eV per atom

=====

What is the formula in the twelfth record? Dy2Ho2CBr5

=====

Number 5 is which compound? Dy2Ho2CBr3F2